# PBE Fe2AsOs, optimized geometry
# Crystal system   tetragonal
# Energy of formation from the pure elements   162 meV/atom
data_Fe2AsOs
_cell_length_a 3.025
_cell_length_b 3.025
_cell_length_c 5.713
_cell_angle_alpha 90.00
_cell_angle_beta 90.00
_cell_angle_gamma 90.00
_space_group_name_H-M_alt 'P 4 m m'
_space_group_IT_number 99
_space_group_name_Hall 'P 4 -2'
loop_
_atom_site_label
_atom_site_type_symbol
_atom_site_fract_x
_atom_site_fract_y
_atom_site_fract_z
Fe1 Fe 0.000 0.000 0.000
Fe2 Fe 0.500 0.500 0.222
As1 As 0.500 0.500 0.758
Os1 Os 0.000 0.000 0.496